1.
{
  "formula": "PrErThCd",
  "functional": "PBE-GGA",
  "state": "optimized geometry",
  "mass_density_g_cm3": 9.1,
  "de_polymorph_mev_per_atom": 0,
  "delta_e_f_mev_per_atom": -158,
  "m_tot_mub_per_cell": 0.00,
  "cell": [[3.6366, 0.0000, 0.0000], [0.0000, 3.6366, 0.0000], [0.0000, 0.0000, 8.9975]],
  "species": ["Pr", "Er", "Th", "Cd"],
  "fractional_positions": [[0.0000, 0.0000, 0.0000], [0.0000, 0.0000, 0.4645], [0.5000, 0.5000, 0.7245], [0.5000, 0.5000, 0.2492]]
}

2.
{
  "formula": "CaPrPu2O8",
  "functional": "PBE-GGA",
  "state": "optimized geometry",
  "mass_density_g_cm3": 6.4,
  "m_tot_mub_per_cell": 5.00,
  "raw_formation_energy_ev_per_fu": -30.62,
  "cell": [[-3.7530, 3.7530, 3.6743], [3.7530, -3.7530, 3.6743], [3.7530, 3.7530, -3.6743]],
  "species": ["Ca", "Pr", "Pu", "Pu", "O", "O", "O", "O", "O", "O", "O", "O"],
  "fractional_positions": [[0.0000, 0.0000, 0.0000], [0.7500, 0.2500, 0.5000], [0.2500, 0.7500, 0.5000], [0.5000, 0.5000, 0.0000], [0.0510, 0.3716, 0.3207], [0.0510, 0.7303, 0.6793], [0.1224, 0.3045, 0.8179], [0.2697, 0.9490, 0.3207], [0.4866, 0.3045, 0.1821], [0.6284, 0.9490, 0.6793], [0.6955, 0.5134, 0.8179], [0.6955, 0.8776, 0.1821]]
}

3.
{
  "formula": "Hg2C2Br",
  "functional": "PBE-GGA",
  "state": "optimized geometry",
  "mass_density_g_cm3": 8.1,
  "de_polymorph_mev_per_atom": 799,
  "m_tot_mub_per_cell": 0.00,
  "raw_formation_energy_ev_per_fu": 9.48,
  "cell": [[-2.0555, 2.0555, 6.1291], [2.0555, -2.0555, 6.1291], [2.0555, 2.0555, -6.1291]],
  "species": ["Hg", "Hg", "C", "C", "Br"],
  "fractional_positions": [[0.1713, 0.1713, 0.0000], [0.8287, 0.8287, 0.0000], [0.2500, 0.7500, 0.5000], [0.7500, 0.2500, 0.5000], [0.5000, 0.5000, 0.0000]]
}

4.
{
  "formula": "Pm2Tm5Sb4",
  "functional": "PBE-GGA",
  "state": "optimized geometry",
  "mass_density_g_cm3": 8.1,
  "m_tot_mub_per_cell": 0.01,
  "raw_formation_energy_ev_per_fu": -3.49,
  "cell": [[18.1231, -1.7109, 0.0000], [18.1231, 1.7109, 0.0000], [-0.8120, 0.0000, 5.3696]],
  "species": ["Pm", "Pm", "Tm", "Tm", "Tm", "Tm", "Tm", "Sb", "Sb", "Sb", "Sb"],
  "fractional_positions": [[0.2040, 0.2040, 0.2050], [0.7960, 0.7960, 0.7950], [0.0842, 0.0842, 0.0854], [0.1351, 0.1351, 0.6363], [0.5000, 0.5000, 0.0000], [0.8649, 0.8649, 0.3637], [0.9158, 0.9158, 0.9146], [0.0466, 0.0466, 0.5478], [0.2924, 0.2924, 0.2915], [0.7076, 0.7076, 0.7085], [0.9534, 0.9534, 0.4522]]
}

5.
{
  "formula": "BaPaMoN4",
  "functional": "PBE-GGA",
  "state": "optimized geometry",
  "mass_density_g_cm3": 6.7,
  "m_tot_mub_per_cell": 0.00,
  "raw_formation_energy_ev_per_fu": -6.43,
  "cell": [[6.1189, 0.0000, 0.0000], [0.0000, 5.8612, 0.0000], [-2.2645, 0.0000, 7.1517]],
  "species": ["Ba", "Ba", "Pa", "Pa", "Mo", "Mo", "N", "N", "N", "N", "N", "N", "N", "N"],
  "fractional_positions": [[0.2101, 0.2500, 0.4276], [0.7899, 0.7500, 0.5724], [0.3012, 0.2500, 0.9519], [0.6988, 0.7500, 0.0481], [0.2402, 0.7500, 0.1623], [0.7598, 0.2500, 0.8377], [0.0239, 0.7500, 0.9341], [0.0391, 0.7500, 0.3101], [0.4656, 0.5094, 0.1810], [0.4656, 0.9906, 0.1810], [0.5344, 0.0094, 0.8190], [0.5344, 0.4906, 0.8190], [0.9609, 0.2500, 0.6899], [0.9761, 0.2500, 0.0659]]
}

6.
{
  "formula": "Ti5CuBi2",
  "functional": "PBE-GGA",
  "state": "optimized geometry",
  "mass_density_g_cm3": 7.2,
  "delta_e_f_mev_per_atom": 135,
  "m_tot_mub_per_cell": 0.38,
  "cell": [[1.5867, -8.4236, 0.0000], [1.5867, 8.4236, 0.0000], [0.0000, 0.0000, 12.4759]],
  "species": ["Ti", "Ti", "Ti", "Ti", "Ti", "Ti", "Ti", "Ti", "Ti", "Ti", "Cu", "Cu", "Bi", "Bi", "Bi", "Bi"],
  "fractional_positions": [[0.1348, 0.8652, 0.6220], [0.1348, 0.8652, 0.8780], [0.2665, 0.7335, 0.2500], [0.3030, 0.6970, 0.5521], [0.3030, 0.6970, 0.9479], [0.6970, 0.3030, 0.0521], [0.6970, 0.3030, 0.4479], [0.7335, 0.2665, 0.7500], [0.8652, 0.1348, 0.1220], [0.8652, 0.1348, 0.3780], [0.3592, 0.6408, 0.7500], [0.6408, 0.3592, 0.2500], [0.0502, 0.9498, 0.1092], [0.0502, 0.9498, 0.3908], [0.9498, 0.0502, 0.6092], [0.9498, 0.0502, 0.8908]]
}

7.
{
  "formula": "BeTlCo3",
  "functional": "PBE-GGA",
  "state": "optimized geometry",
  "mass_density_g_cm3": 6.1,
  "de_polymorph_mev_per_atom": 1591,
  "delta_e_f_mev_per_atom": 2079,
  "m_tot_mub_per_cell": 4.51,
  "cell": [[4.7359, 0.0000, 0.0000], [0.0000, 4.7359, 0.0000], [0.0000, 0.0000, 4.7359]],
  "species": ["Be", "Tl", "Co", "Co", "Co"],
  "fractional_positions": [[0.0000, 0.0000, 0.0000], [0.5000, 0.5000, 0.5000], [0.0000, 0.5000, 0.5000], [0.5000, 0.0000, 0.5000], [0.5000, 0.5000, 0.0000]]
}

8.
{
  "formula": "LaLuInGe",
  "functional": "PBE-GGA",
  "state": "optimized geometry",
  "mass_density_g_cm3": 7.9,
  "delta_e_f_mev_per_atom": -480,
  "m_tot_mub_per_cell": 0.00,
  "cell": [[0.0000, 3.7419, 3.7419], [3.7419, 0.0000, 3.7419], [3.7419, 3.7419, 0.0000]],
  "species": ["La", "Lu", "In", "Ge"],
  "fractional_positions": [[0.0000, 0.0000, 0.0000], [0.5000, 0.5000, 0.5000], [0.7500, 0.7500, 0.7500], [0.2500, 0.2500, 0.2500]]
}